## RbIn3Se (PBE)

Data for an optimized crystal structure of RbIn3Se.

Calculated values
M_tot = 0.0 μB per formula unit
E = -8.08 eV per cell
energy above the lowest structure with this stoichiometry = 840 meV/atom
formation energy (no corrections) = 0.92 eV per atom
symmetry = Pm-3m

Unit cell a=6.317 b=6.317 c=6.317 alpha=90.00 beta=90.00 gamma=90.00
Sites, in units of the cell vectors:
Rb 0.000 0.000 0.000
In 0.000 0.000 0.500
In 0.000 0.500 0.000
In 0.500 0.000 0.000
Se 0.500 0.500 0.500

=====

## RbIn5Se4 (PBE)

Data for an optimized crystal structure of RbIn5Se4.

Calculated values
M_tot = 0.0 μB per formula unit
E = -66.01 eV per cell
formation energy (no corrections) = -0.44 eV per atom
symmetry = Pmmn

Unit cell a=8.312 b=12.078 c=6.545 alpha=90.00 beta=90.00 gamma=90.00
Sites, in units of the cell vectors:
Rb 0.250 0.250 0.105
Rb 0.750 0.750 0.895
In 0.059 0.532 0.285
In 0.059 0.968 0.285
In 0.250 0.750 0.642
In 0.441 0.532 0.285
In 0.441 0.968 0.285
In 0.559 0.032 0.715
In 0.559 0.468 0.715
In 0.750 0.250 0.358
In 0.941 0.032 0.715
In 0.941 0.468 0.715
Se 0.019 0.250 0.580
Se 0.250 0.563 0.875
Se 0.250 0.937 0.875
Se 0.481 0.250 0.580
Se 0.519 0.750 0.420
Se 0.750 0.063 0.125
Se 0.750 0.437 0.125
Se 0.981 0.750 0.420

=====

## RbIn3Se3 (PBE)

Data for an optimized crystal structure of RbIn3Se3.

Calculated values
M_tot = 0.0 μB per formula unit
E = -45.85 eV per cell
formation energy (no corrections) = -0.47 eV per atom
symmetry = R-3

Unit cell a=9.249 b=9.249 c=9.249 alpha=56.36 beta=56.36 gamma=56.36
Sites, in units of the cell vectors:
Rb 0.167 0.167 0.167
Rb 0.833 0.833 0.833
In 0.077 0.703 0.379
In 0.297 0.621 0.923
In 0.379 0.077 0.703
In 0.621 0.923 0.297
In 0.703 0.379 0.077
In 0.923 0.297 0.621
Se 0.046 0.408 0.753
Se 0.247 0.954 0.592
Se 0.408 0.753 0.046
Se 0.592 0.247 0.954
Se 0.753 0.046 0.408
Se 0.954 0.592 0.247

=====

## RbIn4Se2 (PBE)

Data for an optimized crystal structure of RbIn4Se2.

Calculated values
M_tot = 0.0 μB per formula unit
E = -34.85 eV per cell
formation energy (no corrections) = 0.21 eV per atom
symmetry = I4/mmm

Unit cell a=6.468 b=6.468 c=16.023 alpha=90.00 beta=90.00 gamma=90.00
Sites, in units of the cell vectors:
Rb 0.000 0.000 0.000
Rb 0.500 0.500 0.500
In 0.000 0.000 0.235
In 0.000 0.000 0.765
In 0.000 0.500 0.000
In 0.000 0.500 0.500
In 0.500 0.000 0.000
In 0.500 0.000 0.500
In 0.500 0.500 0.265
In 0.500 0.500 0.735
Se 0.000 0.000 0.396
Se 0.000 0.000 0.604
Se 0.500 0.500 0.104
Se 0.500 0.500 0.896

=====

## RbIn3Se (PBE)

Data for an optimized crystal structure of RbIn3Se.

Calculated values
M_tot = 0.0 μB per formula unit
E = -12.29 eV per cell
energy above the lowest structure with this stoichiometry = 0 meV/atom
formation energy (no corrections) = 0.08 eV per atom
symmetry = Pm-3m

Unit cell a=5.910 b=5.910 c=5.910 alpha=90.00 beta=90.00 gamma=90.00
Sites, in units of the cell vectors:
Rb 0.000 0.000 0.000
In 0.000 0.500 0.500
In 0.500 0.000 0.500
In 0.500 0.500 0.000
Se 0.500 0.500 0.500

=====

## Rb3InSe (PBE)

Data for an optimized crystal structure of Rb3InSe.

Calculated values
M_tot = 1.9 μB per formula unit
E = -10.94 eV per cell
energy above the lowest structure with this stoichiometry = 0 meV/atom
formation energy (no corrections) = -0.36 eV per atom
symmetry = Pm-3m

Unit cell a=6.625 b=6.625 c=6.625 alpha=90.00 beta=90.00 gamma=90.00
Sites, in units of the cell vectors:
Rb 0.000 0.000 0.500
Rb 0.000 0.500 0.000
Rb 0.500 0.000 0.000
In 0.500 0.500 0.500
Se 0.000 0.000 0.000

=====

Q: Which value of formation energy (no corrections) does entry 3 give?
A: -0.47 eV per atom